The following is a PBE calculation of an optimized crystal structure of Th4Ga12Co, from the Alexandria database. Values from VASP.

Electronic total energy, eV for the cell shown: -81.6

The structure in Quantum ESPRESSO input format:
```
&SYSTEM
  ibrav = 0, nat = 17, ntyp = 3
/
ATOMIC_SPECIES
Ga 69.72 Ga.upf
Th 232.04 Th.upf
Co 58.93 Co.upf
CELL_PARAMETERS angstrom
-0.557 -6.153 -4.499
2.904 -2.046 6.766
-6.934 3.046 1.020
ATOMIC_POSITIONS crystal
Ga 0.287 0.287 0.000
Ga 0.287 0.000 0.287
Ga 0.713 0.000 0.713
Ga 0.500 0.750 0.250
Ga 0.500 0.250 0.750
Ga 0.000 0.713 0.713
Ga 0.250 0.500 0.750
Ga 0.713 0.713 0.000
Ga 0.750 0.500 0.250
Ga 0.750 0.250 0.500
Ga 0.250 0.750 0.500
Ga 0.000 0.287 0.287
Th 0.500 0.500 0.500
Th 0.000 0.500 0.000
Th 0.500 0.000 0.000
Th 0.000 0.000 0.500
Co 0.000 0.000 0.000
```